The following is a DFT calculation (GGA-PBE) of a geometry-optimized Cu2PbSCl structure.

Raw formation energy ... 0.8875 eV/atom
D(E_F) ... 4.5 states/eV/cell

```
data_Cu2PbSCl
_cell_length_a 5.1142
_cell_length_b 5.1142
_cell_length_c 5.4539
_cell_angle_alpha 90.00
_cell_angle_beta 90.00
_cell_angle_gamma 90.00
_space_group_name_H-M_alt 'P 4/m m m'
_space_group_IT_number 123
_space_group_name_Hall '-P 4 2'
loop_
_atom_site_label
_atom_site_type_symbol
_atom_site_fract_x
_atom_site_fract_y
_atom_site_fract_z
Cu1 Cu 0.0000 0.5000 0.0000
Pb1 Pb 0.0000 0.0000 0.0000
S1 S 0.5000 0.5000 0.5000
Cl1 Cl 0.0000 0.0000 0.5000
```

The following is a DFT calculation (GGA-PBE) of a geometry-optimized CuSbPb2Cl structure.

Raw formation energy ... 0.2725 eV/atom
D(E_F) ... 3.4 states/eV/cell

```
data_CuSbPb2Cl
_cell_length_a 5.7688
_cell_length_b 5.7688
_cell_length_c 4.4025
_cell_angle_alpha 90.00
_cell_angle_beta 90.00
_cell_angle_gamma 90.00
_space_group_name_H-M_alt 'P 4/m m m'
_space_group_IT_number 123
_space_group_name_Hall '-P 4 2'
loop_
_atom_site_label
_atom_site_type_symbol
_atom_site_fract_x
_atom_site_fract_y
_atom_site_fract_z
Cu1 Cu 0.0000 0.0000 0.0000
Sb1 Sb 0.5000 0.5000 0.0000
Pb1 Pb 0.0000 0.5000 0.5000
Cl1 Cl 0.0000 0.0000 0.5000
```

The following is a DFT calculation (GGA-PBE) of a geometry-optimized Cu2SbPbCl structure.

Raw formation energy ... 0.1337 eV/atom
D(E_F) ... 0.7 states/eV/cell

```
data_Cu2SbPbCl
_cell_length_a 4.7956
_cell_length_b 4.7956
_cell_length_c 6.4423
_cell_angle_alpha 90.00
_cell_angle_beta 90.00
_cell_angle_gamma 90.00
_space_group_name_H-M_alt 'P 4/m m m'
_space_group_IT_number 123
_space_group_name_Hall '-P 4 2'
loop_
_atom_site_label
_atom_site_type_symbol
_atom_site_fract_x
_atom_site_fract_y
_atom_site_fract_z
Cu1 Cu 0.0000 0.5000 0.0000
Sb1 Sb 0.0000 0.0000 0.0000
Pb1 Pb 0.0000 0.0000 0.5000
Cl1 Cl 0.5000 0.5000 0.5000
```

The following is a DFT calculation (GGA-PBE) of a geometry-optimized Cu2SiPbCl structure.

Raw formation energy ... 0.7446 eV/atom
D(E_F) ... 2.7 states/eV/cell

```
data_Cu2SiPbCl
_cell_length_a 4.3835
_cell_length_b 4.3835
_cell_length_c 6.0137
_cell_angle_alpha 90.00
_cell_angle_beta 90.00
_cell_angle_gamma 90.00
_space_group_name_H-M_alt 'P 4/m m m'
_space_group_IT_number 123
_space_group_name_Hall '-P 4 2'
loop_
_atom_site_label
_atom_site_type_symbol
_atom_site_fract_x
_atom_site_fract_y
_atom_site_fract_z
Cu1 Cu 0.0000 0.5000 0.0000
Si1 Si 0.0000 0.0000 0.5000
Pb1 Pb 0.5000 0.5000 0.5000
Cl1 Cl 0.5000 0.5000 0.0000
```

The following is a DFT calculation (GGA-PBE) of a geometry-optimized SrCuPbCl5 structure.

Raw formation energy ... -1.4047 eV/atom
D(E_F) ... 0.0 states/eV/cell

```
data_SrCuPbCl5
_cell_length_a 8.4844
_cell_length_b 11.5924
_cell_length_c 9.3567
_cell_angle_alpha 90.00
_cell_angle_beta 100.65
_cell_angle_gamma 90.00
_space_group_name_H-M_alt 'C 1 2/c 1'
_space_group_IT_number 15
_space_group_name_Hall '-C 2yc'
loop_
_atom_site_label
_atom_site_type_symbol
_atom_site_fract_x
_atom_site_fract_y
_atom_site_fract_z
Sr1 Sr 0.0000 0.0000 0.0000
Cu1 Cu 0.0000 0.3277 0.2500
Pb1 Pb 0.0000 0.3927 0.7500
Cl1 Cl 0.0000 0.1389 0.7500
Cl2 Cl 0.1478 0.4084 0.4546
Cl3 Cl 0.1687 0.1803 0.1699
```

The following is a DFT calculation (GGA-PBE) of a geometry-optimized TbCuPbCl6 structure.

Raw formation energy ... -1.4465 eV/atom
D(E_F) ... 0.0 states/eV/cell

```
data_TbCuPbCl6
_cell_length_a 6.6624
_cell_length_b 6.6624
_cell_length_c 12.9261
_cell_angle_alpha 90.00
_cell_angle_beta 90.00
_cell_angle_gamma 120.00
_space_group_name_H-M_alt 'P -3 1 c'
_space_group_IT_number 163
_space_group_name_Hall '-P 3 2c'
loop_
_atom_site_label
_atom_site_type_symbol
_atom_site_fract_x
_atom_site_fract_y
_atom_site_fract_z
Tb1 Tb 0.3333 0.6667 0.2500
Cu1 Cu 0.3333 0.6667 0.7500
Pb1 Pb 0.0000 0.0000 0.0000
Cl1 Cl 0.0122 0.3617 0.6345
```

The following is a DFT calculation (GGA-PBE) of a geometry-optimized TlCuPbCl5 structure.

Raw formation energy ... -0.8474 eV/atom
D(E_F) ... 8.4 states/eV/cell

```
data_TlCuPbCl5
_cell_length_a 8.4043
_cell_length_b 12.7180
_cell_length_c 10.3376
_cell_angle_alpha 90.00
_cell_angle_beta 112.31
_cell_angle_gamma 90.00
_space_group_name_H-M_alt 'C 1 2/c 1'
_space_group_IT_number 15
_space_group_name_Hall '-C 2yc'
loop_
_atom_site_label
_atom_site_type_symbol
_atom_site_fract_x
_atom_site_fract_y
_atom_site_fract_z
Tl1 Tl 0.0000 0.1642 0.2500
Cu1 Cu 0.0000 0.1760 0.7500
Pb1 Pb 0.0000 0.5000 0.0000
Cl1 Cl 0.0000 0.4106 0.2500
Cl2 Cl 0.0852 0.2880 0.6156
Cl3 Cl 0.1407 0.0592 0.9215
```

The following is a DFT calculation (GGA-PBE) of a geometry-optimized Tl2Cu2PbCl6 structure.

Raw formation energy ... -0.8252 eV/atom
D(E_F) ... 0.0 states/eV/cell

```
data_Tl2Cu2PbCl6
_cell_length_a 12.9635
_cell_length_b 7.5414
_cell_length_c 7.8062
_cell_angle_alpha 90.00
_cell_angle_beta 120.88
_cell_angle_gamma 90.00
_space_group_name_H-M_alt 'C 1 2/m 1'
_space_group_IT_number 12
_space_group_name_Hall '-C 2y'
loop_
_atom_site_label
_atom_site_type_symbol
_atom_site_fract_x
_atom_site_fract_y
_atom_site_fract_z
Tl1 Tl 0.2302 0.0000 0.1972
Cu1 Cu 0.0450 0.5000 0.2037
Pb1 Pb 0.0000 0.0000 0.5000
Cl1 Cl 0.0624 0.2558 0.8192
Cl2 Cl 0.2456 0.5000 0.3644
```

The following is a DFT calculation (GGA-PBE) of a geometry-optimized Tl3Cu2PbCl9 structure.

Raw formation energy ... -0.8013 eV/atom
D(E_F) ... 6.1 states/eV/cell

```
data_Tl3Cu2PbCl9
_cell_length_a 7.1574
_cell_length_b 7.1574
_cell_length_c 9.0661
_cell_angle_alpha 90.00
_cell_angle_beta 90.00
_cell_angle_gamma 120.00
_space_group_name_H-M_alt 'P -3 m 1'
_space_group_IT_number 164
_space_group_name_Hall '-P 3 2"'
loop_
_atom_site_label
_atom_site_type_symbol
_atom_site_fract_x
_atom_site_fract_y
_atom_site_fract_z
Tl1 Tl 0.0000 0.0000 0.0000
Tl2 Tl 0.3333 0.6667 0.7167
Cu1 Cu 0.3333 0.6667 0.1542
Pb1 Pb 0.0000 0.0000 0.5000
Cl1 Cl 0.0000 0.5000 0.0000
Cl2 Cl 0.1747 0.3494 0.3098
```

The following is a DFT calculation (GGA-PBE) of a geometry-optimized Tl2CuPbCl6 structure.

Raw formation energy ... -0.8686 eV/atom
D(E_F) ... 4.8 states/eV/cell

```
data_Tl2CuPbCl6
_cell_length_a 10.4695
_cell_length_b 10.4522
_cell_length_c 7.4121
_cell_angle_alpha 90.00
_cell_angle_beta 134.80
_cell_angle_gamma 90.00
_space_group_name_H-M_alt 'C 1 m 1'
_space_group_IT_number 8
_space_group_name_Hall 'C -2y'
loop_
_atom_site_label
_atom_site_type_symbol
_atom_site_fract_x
_atom_site_fract_y
_atom_site_fract_z
Tl1 Tl 0.0000 0.2489 0.0000
Cu1 Cu 0.4557 0.5000 0.4142
Pb1 Pb 0.4575 0.0000 0.4170
Cl1 Cl 0.1836 0.0000 0.4018
Cl2 Cl 0.1877 0.0000 0.8814
Cl3 Cl 0.2136 0.5000 0.3976
Cl4 Cl 0.2196 0.5000 0.9393
Cl5 Cl 0.4483 0.2665 0.3996
```

The following is a DFT calculation (GGA-PBE) of a geometry-optimized TlCuPbCl4 structure.

Raw formation energy ... -0.8956 eV/atom
D(E_F) ... 0.0 states/eV/cell

```
data_TlCuPbCl4
_cell_length_a 6.5492
_cell_length_b 7.3268
_cell_length_c 8.7994
_cell_angle_alpha 90.00
_cell_angle_beta 109.30
_cell_angle_gamma 90.00
_space_group_name_H-M_alt 'P 1 21/m 1'
_space_group_IT_number 11
_space_group_name_Hall '-P 2yb'
loop_
_atom_site_label
_atom_site_type_symbol
_atom_site_fract_x
_atom_site_fract_y
_atom_site_fract_z
Tl1 Tl 0.2373 0.2500 0.4339
Cu1 Cu 0.3067 0.7500 0.1984
Pb1 Pb 0.2841 0.2500 0.9490
Cl1 Cl 0.0638 0.7500 0.9245
Cl2 Cl 0.0749 0.7500 0.3512
Cl3 Cl 0.4869 0.5094 0.7714
```

The following is a DFT calculation (GGA-PBE) of a geometry-optimized TlCu2PbCl8 structure.

Raw formation energy ... -0.6718 eV/atom
D(E_F) ... 2.7 states/eV/cell

```
data_TlCu2PbCl8
_cell_length_a 6.1323
_cell_length_b 6.2308
_cell_length_c 8.6084
_cell_angle_alpha 82.30
_cell_angle_beta 81.98
_cell_angle_gamma 85.65
_space_group_name_H-M_alt 'P -1'
_space_group_IT_number 2
_space_group_name_Hall '-P 1'
loop_
_atom_site_label
_atom_site_type_symbol
_atom_site_fract_x
_atom_site_fract_y
_atom_site_fract_z
Tl1 Tl 0.0000 0.0000 0.0000
Cu1 Cu 0.4769 0.4807 0.7273
Pb1 Pb 0.0000 0.0000 0.5000
Cl1 Cl 0.2365 0.7941 0.2356
Cl2 Cl 0.2481 0.8021 0.7551
Cl3 Cl 0.2713 0.3176 0.9505
Cl4 Cl 0.3042 0.3416 0.4833
```

M_tot (μB per formula unit)
1.768 0.000 0.000 0.000 0.116 0.108 0.891 0.152 0.721 0.000 0.130 1.043
V (A^3/atom)
28.5 29.3 29.6 23.1 28.3 27.6 31.9 29.8 26.8 28.8 28.5 26.9